[1]
First-principles (PBE-GGA) data for SrZnCoP after structural relaxation, as listed in Alexandria via LeMat-Bulk.

```
8
Lattice="3.747 0.000 0.000 0.000 3.747 0.000 0.000 0.000 11.540" Properties=species:S:1:pos:R:3 pbc="T T T"
Sr 0.937 0.937 2.768
Sr 2.810 2.810 8.772
Zn 0.937 2.810 5.770
Zn 2.810 0.937 5.770
Co 0.937 2.810 0.000
Co 2.810 0.937 0.000
P 0.937 0.937 10.333
P 2.810 2.810 1.207
```

Results
- Space group: P4/nmm
- DFT formation energy: -581 meV/atom

[2]
First-principles (PBE-GGA) data for CsLa2Cu after structural relaxation, as listed in Alexandria via LeMat-Bulk.

```
4
Lattice="0.000 3.949 3.949 3.949 0.000 3.949 3.949 3.949 0.000" Properties=species:S:1:pos:R:3 pbc="T T T"
Cs 0.000 0.000 0.000
La 1.974 1.974 1.974
La 5.923 5.923 5.923
Cu 3.949 3.949 3.949
```

Results
- Space group: Fm-3m
- Energy above the lowest structure with this stoichiometry: 35 meV per atom
- DFT formation energy: 502 meV/atom

[3]
First-principles (PBE-GGA) data for Ba2OsW after structural relaxation, as listed in Alexandria via LeMat-Bulk.

```
4
Lattice="-2.110 2.110 5.573 2.110 -2.110 5.573 2.110 2.110 -5.573" Properties=species:S:1:pos:R:3 pbc="T T T"
Ba 2.110 0.000 2.787
Ba 0.000 2.110 2.787
Os 0.000 0.000 0.000
W 0.000 0.000 5.573
```

Results
- Space group: I4/mmm
- Energy above the lowest structure with this stoichiometry: 1175 meV per atom
- DFT formation energy: 1578 meV/atom

[4]
First-principles (PBE-GGA) data for SrLiCd2Hg after structural relaxation, as listed in Alexandria via LeMat-Bulk.

```
5
Lattice="5.069 0.000 0.000 0.000 5.069 0.000 0.000 0.000 5.092" Properties=species:S:1:pos:R:3 pbc="T T T"
Sr 0.000 0.000 0.000
Li 2.534 2.534 2.546
Cd 0.000 2.534 2.546
Cd 2.534 0.000 2.546
Hg 2.534 2.534 0.000
```

Results
- Space group: P4/mmm
- DFT formation energy: -210 meV/atom